(1)
## Cs3SbH (PBE)

Data for crystalline Cs3SbH at its relaxed geometry.

Summary:
final energy	-2.2393	eV per atom
size of the total moment	0.3	μB per formula unit
E above lowest polymorph	0	meV/atom

Cell: 5.0666 8.3501 12.5258 Å, 79.01 90.00 72.34°
Sites, in units of the cell vectors:
Cs  0.4614  0.6460  0.7530
H  0.6026  0.3641  0.3841
Sb  0.8726  0.8232  0.9283
Cs  0.6954  0.1776  0.6354
Cs  0.4992  0.5700  0.1278
Cs  0.9928  0.5832  0.4237
Cs  0.2269  0.1148  0.3060
Cs  0.1890  0.1906  0.9314
H  0.0856  0.3967  0.6749
Sb  0.8156  0.9373  0.1308

---

(2)
## PaGeBrO4 (PBE)

Data for crystalline PaGeBrO4 at its relaxed geometry.

Summary:
final energy	-7.4582	eV per atom
size of the total moment	0.0	μB per formula unit

Cell: 6.2536 6.2536 6.8647 Å, 76.01 76.01 67.59°
Sites, in units of the cell vectors:
Br  0.0127  0.0127  0.2395
O  0.7042  0.7042  0.4652
Ge  0.6357  0.6357  0.7306
O  0.2958  0.2958  0.5348
O  0.5405  0.5405  0.2052
O  0.4595  0.4595  0.7948
Pa  0.2486  0.2486  0.8536
O  0.1082  0.4909  0.1499
Br  0.9873  0.9873  0.7605
Pa  0.7514  0.7514  0.1464
O  0.4909  0.1082  0.1499
Ge  0.3643  0.3643  0.2694
O  0.8918  0.5091  0.8501
O  0.5091  0.8918  0.8501

---

(3)
## Ba2Cd3Bi4Au (PBE)

Data for crystalline Ba2Cd3Bi4Au at its relaxed geometry.

Summary:
final energy	-2.9373	eV per atom
size of the total moment	0.0	μB per formula unit
calculated formation energy	-0.398	eV per atom

Cell: 5.3979 5.3979 11.3134 Å, 90.00 90.00 90.00°
Sites, in units of the cell vectors:
Bi  0.0000  0.0000  0.0000
Ba  0.5000  0.0000  0.2652
Cd  0.5000  0.0000  0.8734
Ba  0.0000  0.5000  0.7348
Bi  0.0000  0.5000  0.3816
Bi  0.5000  0.0000  0.6184
Bi  0.5000  0.5000  0.0000
Au  0.5000  0.5000  0.5000
Cd  0.0000  0.0000  0.5000
Cd  0.0000  0.5000  0.1266

---

(4)
## Sr2CrCo (PBE)

Data for crystalline Sr2CrCo at its relaxed geometry.

Summary:
final energy	-4.1017	eV per atom
size of the total moment	4.0	μB per formula unit
E above lowest polymorph	561	meV/atom
calculated formation energy	0.922	eV per atom

Cell: 4.1178 4.1178 9.3142 Å, 81.17 81.17 52.80°
Sites, in units of the cell vectors:
Co  0.2500  0.2500  0.2500
Sr  0.9836  0.9836  0.0417
Cr  0.7500  0.7500  0.7500
Sr  0.5164  0.5164  0.4583

---

(5)
## La5TbDy8 (PBE)

Data for crystalline La5TbDy8 at its relaxed geometry.

Summary:
final energy	-4.6779	eV per atom
size of the total moment	0.0	μB per formula unit
calculated formation energy	0.042	eV per atom

Cell: 3.5758 15.1055 8.8808 Å, 90.53 101.61 90.00°
Sites, in units of the cell vectors:
La  0.7351  0.0622  0.4703
Dy  0.9514  0.3723  0.9027
Dy  0.7737  0.2833  0.5474
Dy  0.5306  0.7867  0.0613
La  0.6215  0.4265  0.2430
Dy  0.4201  0.1665  0.8402
Dy  0.1456  0.6377  0.2912
Dy  0.1971  0.8507  0.3942
Tb  0.4752  0.5780  0.9505
La  0.0409  0.9985  0.0817
La  0.3751  0.9213  0.7503
Dy  0.1026  0.2198  0.2052
La  0.2993  0.4873  0.5987
Dy  0.8318  0.7092  0.6635

---

(6)
## TlGe2Bi2 (PBE)

Data for crystalline TlGe2Bi2 at its relaxed geometry.

Summary:
final energy	-3.7138	eV per atom
size of the total moment	0.0	μB per formula unit
E above lowest polymorph	0	meV/atom
calculated formation energy	0.159	eV per atom

Cell: 5.5525 5.5525 6.1790 Å, 63.30 63.30 90.00°
Sites, in units of the cell vectors:
Tl  0.0000  0.0000  0.0000
Ge  0.3649  0.3649  0.2701
Ge  0.6351  0.6351  0.7299
Bi  0.7500  0.2500  0.5000
Bi  0.2500  0.7500  0.5000

---

(7)
## MnBeCr2 (PBE)

Data for crystalline MnBeCr2 at its relaxed geometry.

Summary:
final energy	-7.9849	eV per atom
size of the total moment	0.2	μB per formula unit
calculated formation energy	0.051	eV per atom

Cell: 4.6138 4.5746 2.3952 Å, 80.91 78.12 116.77°
Sites, in units of the cell vectors:
Cr  0.0000  0.0000  0.0000
Cr  0.5000  0.0000  0.5000
Mn  0.0000  0.5000  0.5000
Be  0.5000  0.5000  0.0000

---

(8)
## Ta2TcW (PBE)

Data for crystalline Ta2TcW at its relaxed geometry.

Summary:
final energy	-11.9203	eV per atom
size of the total moment	0.0	μB per formula unit
E above lowest polymorph	139	meV/atom
calculated formation energy	-0.164	eV per atom

Cell: 5.2795 5.2795 2.8300 Å, 79.46 79.46 116.01°
Sites, in units of the cell vectors:
Ta  0.5000  0.5000  0.0000
Ta  0.0000  0.0000  0.0000
Tc  0.5000  0.0000  0.5000
W  0.0000  0.5000  0.5000